Entry 1:
Below is a relaxed SrTh2OsN4 crystal, with properties calculated at the PBE-GGA level.

Computed properties:
Volume   568.3 Å³/cell
DOS(E_F)   4.3 states/eV/f.u.
Formation energy from raw total energies   -0.88 eV per atom

Unit cell a=3.723 b=12.040 c=12.680 alpha=90.00 beta=90.00 gamma=90.00
Space group Cmcm (No. 63)
Symmetry-distinct sites (fractional):
Sr (0.000, 0.072, 0.250)
Th (0.000, 0.366, 0.053)
Os (0.000, 0.192, 0.750)
N (0.000, 0.000, 0.000)
N (0.000, 0.254, 0.603)
N (0.000, 0.383, 0.250)

=====

Entry 2:
Below is a relaxed Sr2TlOsN crystal, with properties calculated at the PBE-GGA level.

Computed properties:
Volume   118.0 Å³/cell
DOS(E_F)   2.1 states/eV/f.u.
Formation energy from raw total energies   -0.33 eV per atom

Unit cell a=5.535 b=5.535 c=3.851 alpha=90.00 beta=90.00 gamma=90.00
Space group P4/mmm (No. 123)
Symmetry-distinct sites (fractional):
Sr (0.000, 0.500, 0.000)
Tl (0.000, 0.000, 0.500)
Os (0.500, 0.500, 0.500)
N (0.500, 0.500, 0.000)

=====

Entry 3:
Below is a relaxed SrTm2OsN4 crystal, with properties calculated at the PBE-GGA level.

Computed properties:
Volume   489.1 Å³/cell
DOS(E_F)   2.4 states/eV/f.u.
Formation energy from raw total energies   -0.91 eV per atom

Unit cell a=3.444 b=11.851 c=11.984 alpha=90.00 beta=90.00 gamma=90.00
Space group Cmcm (No. 63)
Symmetry-distinct sites (fractional):
Sr (0.000, 0.072, 0.250)
Tm (0.000, 0.370, 0.042)
Os (0.000, 0.188, 0.750)
N (0.000, 0.000, 0.000)
N (0.000, 0.257, 0.607)
N (0.000, 0.397, 0.250)

=====

Entry 4:
Below is a relaxed Sr2ZnOsN crystal, with properties calculated at the PBE-GGA level.

Computed properties:
Volume   112.6 Å³/cell
DOS(E_F)   2.3 states/eV/f.u.
Formation energy from raw total energies   -0.30 eV per atom

Unit cell a=5.432 b=5.432 c=3.818 alpha=90.00 beta=90.00 gamma=90.00
Space group P4/mmm (No. 123)
Symmetry-distinct sites (fractional):
Sr (0.000, 0.500, 0.000)
Zn (0.000, 0.000, 0.500)
Os (0.500, 0.500, 0.500)
N (0.500, 0.500, 0.000)

=====

Entry 5:
Below is a relaxed TaOs2N2 crystal, with properties calculated at the PBE-GGA level.

Computed properties:
Excess energy over the best structure of this formula in the dataset   0.00 eV/f.u.
Volume   121.7 Å³/cell
DOS(E_F)   1.6 states/eV/f.u.
Formation energy from raw total energies   0.70 eV per atom

Unit cell a=3.738 b=3.738 c=8.708 alpha=90.00 beta=90.00 gamma=90.00
Space group I4/mmm (No. 139)
Symmetry-distinct sites (fractional):
Ta (0.000, 0.000, 0.000)
Os (0.000, 0.000, 0.350)
N (0.000, 0.500, 0.250)

=====

Entry 6:
Below is a relaxed TaOs3N crystal, with properties calculated at the PBE-GGA level.

Computed properties:
Excess energy over the best structure of this formula in the dataset   16.33 eV/f.u.
Volume   109.1 Å³/cell
DOS(E_F)   12.4 states/eV/f.u.
Formation energy from raw total energies   3.58 eV per atom

Unit cell a=4.779 b=4.779 c=4.779 alpha=90.00 beta=90.00 gamma=90.00
Space group Pm-3m (No. 221)
Symmetry-distinct sites (fractional):
Ta (0.000, 0.000, 0.000)
Os (0.000, 0.000, 0.500)
N (0.500, 0.500, 0.500)

=====

> Which of these has the highest formation energy from raw total energies?

TaOs3N

=====

> What is the DOS(E_F) in the fifth record?

1.6 states/eV/f.u.